1.
A relaxed structure of Ce2TiAl2Rh5. Source: the Alexandria database, functional PBE.

Output
E_form: -0.7388 eV/atom

a = 3.432 Å, b = 10.068 Å, c = 10.068 Å
α = 90.00°, β = 90.00°, γ = 90.00°
Last column: magnetic moment on the atom in μB.
Fractional positions:
Ce: 0.000 0.674 0.174  0.52
Ce: 0.000 0.326 0.826  0.52
Ce: 0.000 0.174 0.326  0.52
Ce: 0.000 0.826 0.674  0.52
Ti: 0.000 0.000 0.000  0.01
Ti: 0.000 0.500 0.500  0.01
Al: 0.000 0.125 0.625  0.00
Al: 0.000 0.875 0.375  0.00
Al: 0.000 0.625 0.875  0.00
Al: 0.000 0.375 0.125  0.00
Rh: 0.500 0.203 0.065  -0.02
Rh: 0.500 0.797 0.935  -0.02
Rh: 0.500 0.065 0.797  -0.02
Rh: 0.500 0.703 0.435  -0.02
Rh: 0.500 0.935 0.203  -0.02
Rh: 0.500 0.297 0.565  -0.02
Rh: 0.500 0.565 0.703  -0.02
Rh: 0.500 0.435 0.297  -0.02
Rh: 0.500 0.500 0.000  -0.04
Rh: 0.500 0.000 0.500  -0.04


2.
A relaxed structure of Tl2ZnCoBi. Source: the Alexandria database, functional PBE.

Output
E_form: 0.6503 eV/atom

a = 5.336 Å, b = 4.658 Å, c = 5.336 Å
α = 90.00°, β = 90.00°, γ = 90.00°
Last column: magnetic moment on the atom in μB.
Fractional positions:
Zn: 0.000 0.000 0.000  -0.04
Tl: 0.000 0.000 0.500  -0.01
Tl: 0.500 0.000 0.000  0.01
Co: 0.000 0.500 0.000  1.68
Bi: 0.500 0.500 0.500  0.08


Number 1: E -142.79 eV/cell. Number 2: E -13.74 eV/cell.